# 1
Computed, not measured: a geometry-optimized ZrTaAg2S6 structure at the GGA-PBE level of DFT.

- size of the total moment (μB per cell) = 0.0
- crystal system = cubic

Structure (POSCAR):
```
ZrTaAg2S6
1.0
5.651 -3.881 -0.997
-3.180 -0.030 6.154
-3.018 -2.988 -5.473
Ag S Ta Zr
2 6 1 1
direct
0.750 0.500 0.250
0.250 0.500 0.750
0.245 0.490 0.245
0.245 0.000 0.245
0.755 0.000 0.245
0.755 0.510 0.755
0.755 0.000 0.755
0.245 0.000 0.755
0.000 0.000 0.000
0.500 0.000 0.500
```

---

# 2
Computed, not measured: a geometry-optimized ZnHIO4 structure at the GGA-PBE level of DFT.

- crystal system = monoclinic

Structure (POSCAR):
```
ZnHIO4
1.0
2.326 -5.816 0.000
2.326 5.816 0.000
-0.139 0.000 6.288
H I O Zn
2 2 8 2
direct
0.048 0.166 0.406
0.166 0.048 0.906
0.084 0.692 0.364
0.692 0.084 0.864
0.582 0.921 0.132
0.877 0.776 0.255
0.239 0.389 0.423
0.438 0.085 0.449
0.921 0.582 0.632
0.776 0.877 0.755
0.389 0.239 0.923
0.085 0.438 0.949
0.434 0.502 0.138
0.502 0.434 0.638
```

---

# 3
Computed, not measured: a geometry-optimized ZrGaAsO structure at the GGA-PBE level of DFT.

- size of the total moment (μB per cell) = 0.0
- crystal system = tetragonal
- energy above the most stable polymorph in this dataset (meV per atom) = 0

Structure (POSCAR):
```
ZrGaAsO
1.0
3.622 0.000 0.000
0.000 3.622 0.000
0.000 0.000 10.251
As Ga O Zr
2 2 2 2
direct
0.000 0.500 0.264
0.500 0.000 0.736
0.000 0.000 0.500
0.500 0.500 0.500
0.000 0.000 0.000
0.500 0.500 0.000
0.500 0.000 0.121
0.000 0.500 0.879
```

---

# 4
Computed, not measured: a geometry-optimized Dy2Er5Te2Pd2 structure at the GGA-PBE level of DFT.

- size of the total moment (μB per cell) = 0.0
- crystal system = orthorhombic
- energy above the most stable polymorph in this dataset (meV per atom) = 0

Structure (POSCAR):
```
Dy2Er5Te2Pd2
1.0
-1.963 7.837 4.795
1.963 -7.837 4.795
1.963 7.837 -4.795
Dy Er Pd Te
2 5 2 2
direct
0.614 0.259 0.356
0.903 0.259 0.644
0.523 0.523 0.000
0.235 0.106 0.129
0.217 0.899 0.318
0.581 0.899 0.682
0.977 0.106 0.871
0.832 0.593 0.239
0.354 0.593 0.761
0.860 0.860 0.000
0.258 0.758 0.500
```

---

# 5
Computed, not measured: a geometry-optimized Gd2DyNi2B2N3 structure at the GGA-PBE level of DFT.

- size of the total moment (μB per cell) = 0.0
- crystal system = tetragonal

Structure (POSCAR):
```
Gd2DyNi2B2N3
1.0
8.537 -5.493 1.958
4.956 -8.000 4.281
-7.138 5.409 -5.166
B Dy Gd N Ni
2 1 2 3 2
direct
0.190 0.190 0.000
0.810 0.810 0.000
0.000 0.000 0.000
0.377 0.377 0.000
0.623 0.623 0.000
0.117 0.117 0.000
0.500 0.500 0.000
0.883 0.883 0.000
0.750 0.250 0.500
0.250 0.750 0.500
```

---

# 6
Computed, not measured: a geometry-optimized LaBIr structure at the GGA-PBE level of DFT.

- size of the total moment (μB per cell) = 0.0
- crystal system = cubic
- energy above the most stable polymorph in this dataset (meV per atom) = 0

Structure (POSCAR):
```
LaBIr
1.0
-1.127 -4.193 1.008
-3.153 -2.089 -2.359
1.111 -3.328 -2.749
B Ir La
1 1 1
direct
0.250 0.250 0.250
0.000 0.000 0.000
0.750 0.750 0.750
```

---

# 7
Computed, not measured: a geometry-optimized PmLuTc structure at the GGA-PBE level of DFT.

- size of the total moment (μB per cell) = 0.0
- crystal system = cubic

Structure (POSCAR):
```
PmLuTc
1.0
0.000 3.370 3.370
3.370 0.000 3.370
3.370 3.370 0.000
Lu Pm Tc
1 1 1
direct
0.000 0.000 0.000
0.250 0.250 0.250
0.750 0.750 0.750
```

---

# 8
Computed, not measured: a geometry-optimized NaTeOs structure at the GGA-PBE level of DFT.

- size of the total moment (μB per cell) = 0.6
- crystal system = cubic
- energy above the most stable polymorph in this dataset (meV per atom) = 827

Structure (POSCAR):
```
NaTeOs
1.0
0.000 3.166 3.166
3.166 0.000 3.166
3.166 3.166 0.000
Na Os Te
1 1 1
direct
0.000 0.000 0.000
0.250 0.250 0.250
0.750 0.750 0.750
```

---

# 9
Computed, not measured: a geometry-optimized KTcPO structure at the GGA-PBE level of DFT.

- size of the total moment (μB per cell) = 0.0
- crystal system = orthorhombic
- energy above the most stable polymorph in this dataset (meV per atom) = 0

Structure (POSCAR):
```
KTcPO
1.0
3.439 0.000 0.000
0.000 7.929 0.000
0.000 0.000 6.343
K O P Tc
2 2 2 2
direct
0.000 0.172 0.446
0.000 0.828 0.946
0.500 0.404 0.336
0.500 0.596 0.836
0.000 0.762 0.440
0.000 0.238 0.940
0.500 0.412 0.032
0.500 0.588 0.532
```

---

# 10
Computed, not measured: a geometry-optimized DyF structure at the GGA-PBE level of DFT.

- size of the total moment (μB per cell) = 0.0
- crystal system = hexagonal
- energy above the most stable polymorph in this dataset (meV per atom) = 282

Structure (POSCAR):
```
DyF
1.0
-2.713 1.551 0.782
0.850 -2.665 1.599
1.897 2.080 2.458
Dy F
1 1
direct
0.667 0.333 0.750
0.333 0.667 0.250
```

---

# 11
Computed, not measured: a geometry-optimized Cu2Ag3 structure at the GGA-PBE level of DFT.

- crystal system = orthorhombic
- energy above the most stable polymorph in this dataset (meV per atom) = 57

Structure (POSCAR):
```
Cu2Ag3
1.0
2.834 0.000 0.000
0.000 3.818 0.000
0.000 0.000 14.338
Ag Cu
6 4
direct
0.500 0.500 0.140
0.000 0.000 0.250
0.000 0.000 0.445
0.500 0.500 0.555
0.500 0.500 0.750
0.000 0.000 0.860
0.000 0.000 0.043
0.500 0.500 0.347
0.000 0.000 0.653
0.500 0.500 0.957
```

---

# 12
Computed, not measured: a geometry-optimized SmHoZn2Pb2 structure at the GGA-PBE level of DFT.

- size of the total moment (μB per cell) = 0.0
- crystal system = hexagonal
- energy above the most stable polymorph in this dataset (meV per atom) = 0

Structure (POSCAR):
```
SmHoZn2Pb2
1.0
4.600 0.000 0.000
-2.300 3.984 0.000
0.000 0.000 16.175
Ho Pb Sm Zn
2 4 2 4
direct
0.000 0.000 0.250
0.000 0.000 0.750
0.667 0.333 0.113
0.667 0.333 0.387
0.333 0.667 0.613
0.333 0.667 0.887
0.000 0.000 0.000
0.000 0.000 0.500
0.333 0.667 0.166
0.333 0.667 0.334
0.667 0.333 0.666
0.667 0.333 0.834
```

---

Calculated calculated total energy, -5.4352, -4.4446, -6.6261, -5.2726, -7.5402, -6.3569, -5.6588, -3.7881, -6.1550, -5.2298, -3.0917, -3.6320 eV/atom (same order as the records).